Entry 1:
This record from Alexandria describes a relaxed structure of Co3P2. The functional is PBE.

Calculated values
Energy   -67.4 eV/cell
Formation enthalpy at 0 K   -0.314 eV per atom

Cell: 7.3165 5.6484 5.5211 Å, 81.84 49.83 48.33°
Fractional coordinates of all 10 atoms:
P (0.7761, 0.0705, 0.6342)
P (0.1795, 0.4739, 0.7309)
Co (0.0856, 0.0286, 0.6721)
Co (0.6555, 0.3445, 0.3445)
Co (0.2214, 0.1644, 0.0363)
Co (0.2137, 0.6721, 0.0286)
P (0.6158, 0.7309, 0.4739)
Co (0.9055, 0.5945, 0.5945)
Co (0.5779, 0.0363, 0.1644)
P (0.5191, 0.6342, 0.0705)


Entry 2:
This record from Alexandria describes a relaxed structure of CrInI2N. The functional is PBE.

Calculated values
Energy   -23.8 eV/cell
Energy above the most stable polymorph in this dataset   0.0000 eV/atom
E_form (uncorrected)   -0.005 eV per atom

Cell: 5.8614 5.8614 3.7091 Å, 90.00 90.00 90.00°
Last column: magnetic moment on the atom in μB.
Fractional coordinates of all 5 atoms:
I (0.0000, 0.5000, 0.0000)  -0.06
N (0.0000, 0.0000, 0.5000)  -0.52
Cr (0.0000, 0.0000, 0.0000)  2.62
In (0.5000, 0.5000, 0.5000)  -0.01
I (0.5000, 0.0000, 0.0000)  -0.06


Entry 3:
This record from Alexandria describes a relaxed structure of Rb3Na2UF9. The functional is PBE.

Calculated values
Energy   -79.3 eV/cell
E_form (uncorrected)   -3.042 eV per atom

Cell: 6.3455 6.3455 8.2375 Å, 90.00 90.00 120.00°
Last column: magnetic moment on the atom in μB.
Fractional coordinates of all 15 atoms:
F (0.0000, 0.5000, 0.0000)  0.00
Rb (0.6667, 0.3333, 0.2458)  0.00
F (0.6828, 0.8414, 0.3400)  -0.01
Na (0.6667, 0.3333, 0.8415)  0.00
F (0.5000, 0.5000, 0.0000)  0.00
Rb (0.3333, 0.6667, 0.7542)  0.00
F (0.1586, 0.3172, 0.3400)  -0.01
Na (0.3333, 0.6667, 0.1585)  0.00
Rb (0.0000, 0.0000, 0.0000)  0.00
F (0.3172, 0.1586, 0.6600)  -0.01
F (0.8414, 0.6828, 0.6600)  -0.01
F (0.8414, 0.1586, 0.6600)  -0.01
F (0.1586, 0.8414, 0.3400)  -0.01
U (0.0000, 0.0000, 0.5000)  2.01
F (0.5000, 0.0000, 0.0000)  0.00


Entry 4:
This record from Alexandria describes a relaxed structure of Sr2ZnHg2. The functional is PBE.

Calculated values
Energy   -12.7 eV/cell
Energy above the most stable polymorph in this dataset   0.1967 eV/atom
Formation enthalpy at 0 K   -0.224 eV per atom

Cell: 8.8999 8.8999 4.2623 Å, 90.00 90.00 90.00°
Fractional coordinates of all 10 atoms:
Sr (0.3367, 0.8367, 0.0000)
Hg (0.6336, 0.8664, 0.5000)
Hg (0.1336, 0.6336, 0.5000)
Zn (0.5000, 0.5000, 0.0000)
Zn (0.0000, 0.0000, 0.0000)
Sr (0.6633, 0.1633, 0.0000)
Sr (0.1633, 0.3367, 0.0000)
Sr (0.8367, 0.6633, 0.0000)
Hg (0.8664, 0.3664, 0.5000)
Hg (0.3664, 0.1336, 0.5000)